[1]
This record from Alexandria via LeMat-Bulk describes a relaxed structure of TlCo2I. The functional is PBE.

Properties
DOS at the Fermi energy   1.010 states/eV per atom
Final energy   -14.61 eV per formula unit
ΔE to the lowest computed polymorph   0.038 eV per atom

Structure (extended XYZ):
```
4
Lattice="-3.166 1.196 3.283 0.154 4.278 1.976 -3.340 3.177 -0.993" Properties=species:S:1:pos:R:3 pbc="T T T"
I 0.000 0.000 0.000
Co -4.764 6.488 3.199
Co -1.588 2.163 1.066
Tl -3.176 4.325 2.133
```

[2]
This record from Alexandria via LeMat-Bulk describes a relaxed structure of Tl2CoI2. The functional is PBE.

Properties
DOS at the Fermi energy   0.972 states/eV per atom
Final energy   -14.22 eV per formula unit
ΔE to the lowest computed polymorph   0.006 eV per atom

Structure (extended XYZ):
```
5
Lattice="-3.446 5.763 1.859 1.021 -1.555 6.714 2.498 4.338 4.240" Properties=species:S:1:pos:R:3 pbc="T T T"
Tl -1.080 6.102 5.192
Tl 1.153 2.443 7.620
I -0.345 5.460 8.547
I 0.418 3.086 4.266
Co 0.000 0.000 0.000
```

[3]
This record from Alexandria via LeMat-Bulk describes a relaxed structure of TlCoI2. The functional is PBE.

Properties
DOS at the Fermi energy   2.116 states/eV per atom
Final energy   -12.43 eV per formula unit
ΔE to the lowest computed polymorph   0.094 eV per atom

Structure (extended XYZ):
```
4
Lattice="3.965 0.000 0.000 1.983 3.434 0.000 1.983 1.145 9.958" Properties=species:S:1:pos:R:3 pbc="T T T"
I 5.948 3.434 3.442
I 1.983 1.145 6.517
Co 3.965 2.289 4.979
Tl 0.000 0.000 0.000
```

[4]
This record from Alexandria via LeMat-Bulk describes a relaxed structure of TlCo3I. The functional is PBE.

Properties
DOS at the Fermi energy   1.927 states/eV per atom
Final energy   -17.34 eV per formula unit
ΔE to the lowest computed polymorph   0.339 eV per atom

Structure (extended XYZ):
```
5
Lattice="-3.788 2.061 -2.445 -0.314 -4.012 -2.894 -3.182 -2.056 3.196" Properties=species:S:1:pos:R:3 pbc="T T T"
Co -1.894 1.030 -1.223
Co -0.157 -2.006 -1.447
Co -1.591 -1.028 1.598
Tl 0.000 0.000 0.000
I -3.642 -2.004 -1.071
```

[5]
This record from Alexandria via LeMat-Bulk describes a relaxed structure of TlCo2I. The functional is PBE.

Properties
DOS at the Fermi energy   0.764 states/eV per atom
Final energy   -14.77 eV per formula unit
ΔE to the lowest computed polymorph   0.000 eV per atom

Structure (extended XYZ):
```
8
Lattice="-0.978 -5.938 -0.553 4.612 -0.398 -3.885 5.233 -4.117 1.933" Properties=species:S:1:pos:R:3 pbc="T T T"
Co 1.296 -4.656 -0.336
Co 4.047 -2.154 -2.026
Co 7.001 -8.623 -2.346
Co 5.392 -5.473 -0.302
Tl 3.036 -6.612 -0.420
Tl 0.000 0.000 0.000
I 5.831 -3.841 -2.085
I 1.817 -3.168 -2.219
```

[6]
This record from Alexandria via LeMat-Bulk describes a relaxed structure of Tl3CoI6. The functional is PBE.

Properties
DOS at the Fermi energy   0.751 states/eV per atom
Final energy   -27.30 eV per formula unit
ΔE to the lowest computed polymorph   0.000 eV per atom

Structure (extended XYZ):
```
20
Lattice="-6.955 -4.241 -0.351 5.512 -8.844 -2.370 -0.303 -0.385 10.676" Properties=species:S:1:pos:R:3 pbc="T T T"
I -0.010 -10.903 2.089
I 2.601 -7.242 4.861
I -0.839 -2.020 5.912
I -1.122 -1.498 9.953
I -1.424 -8.566 5.913
I 0.728 -4.797 8.411
I -3.154 -5.500 3.154
I -4.347 -5.309 7.741
I -1.577 -8.126 -0.411
I 2.565 -8.183 0.212
I 0.871 -4.176 2.102
I 0.621 -11.213 -1.935
Tl -6.367 -5.126 2.441
Tl -2.870 -8.903 2.821
Tl -1.813 -4.572 0.201
Tl -3.137 -10.851 7.593
Tl 1.418 -10.297 5.352
Tl -0.313 -5.443 5.061
Co 0.482 -9.553 -0.003
Co 0.429 -2.297 8.092
```

[7]
This record from Alexandria via LeMat-Bulk describes a relaxed structure of TlCo3I. The functional is PBE.

Properties
DOS at the Fermi energy   1.760 states/eV per atom
Final energy   -19.04 eV per formula unit
ΔE to the lowest computed polymorph   0.000 eV per atom

Structure (extended XYZ):
```
5
Lattice="-2.092 3.576 -2.201 -2.980 0.468 3.593 2.958 3.000 2.063" Properties=species:S:1:pos:R:3 pbc="T T T"
I 0.000 0.000 0.000
Tl -1.057 3.522 1.728
Co -1.046 1.788 -1.100
Co -1.490 0.234 1.796
Co 1.479 1.500 1.032
```

[8]
This record from Alexandria via LeMat-Bulk describes a relaxed structure of Tl3CoI6. The functional is PBE.

Properties
Final energy   -27.14 eV per formula unit
ΔE to the lowest computed polymorph   0.016 eV per atom

Structure (extended XYZ):
```
20
Lattice="-6.168 3.945 -2.596 -5.255 -5.197 4.587 0.191 7.472 8.684" Properties=species:S:1:pos:R:3 pbc="T T T"
Co -5.616 3.110 5.338
Co 0.000 0.000 0.000
I -8.935 6.460 9.341
I -6.078 2.185 2.921
I -6.154 -3.017 3.401
I -5.078 9.238 7.274
I -5.153 4.036 7.755
I -5.213 5.540 4.316
I -2.296 -0.239 1.334
I -3.044 2.585 5.063
I -6.018 0.680 6.360
I -10.425 0.203 3.942
I -0.806 6.018 6.734
I -8.187 3.636 5.612
Tl -8.005 7.151 5.906
Tl -3.200 3.239 1.277
Tl -3.227 -0.931 4.769
Tl 0.095 3.736 4.342
Tl -8.031 2.982 9.399
Tl -5.711 -0.626 0.996
```

How do the records compare in energy relative to the elements, uncorrected? In the order shown, they have 878.3 143.5 36.0 1578.7 840.0 -379.6 1239.3 -363.8 meV per atom.